DFT (PBE-GGA) results for crystalline CsTc2Os2 at its relaxed geometry.

Computed properties:
Energy above the lowest structure with this stoichiometry   0.0 meV/atom
Total DFT energy (no corrections)   -7.83 eV/atom
ΔH_f (0 K)   0.977 eV/atom
D(E_F)   1.354 states/eV/atom
Total moment   0.00 μB per formula unit
Space-group type   P4/mbm, No. 127

Lattice parameters (Å, degrees): 8.027 8.027 2.843 90.00 90.00 90.00
Sites, in units of the cell vectors:
Os1 0.120 0.620 0.500
Os2 0.380 0.120 0.500
Os3 0.620 0.880 0.500
Os4 0.880 0.380 0.500
Tc1 0.844 0.656 0.000
Tc2 0.344 0.844 0.000
Tc3 0.656 0.156 0.000
Tc4 0.156 0.344 0.000
Cs1 0.000 0.000 0.000
Cs2 0.500 0.500 0.000

---

DFT (PBE-GGA) results for crystalline Cs3TcOs at its relaxed geometry.

Computed properties:
Total DFT energy (no corrections)   -2.64 eV/atom
ΔH_f (0 K)   2.193 eV/atom
D(E_F)   0.851 states/eV/atom
Total moment   3.09 μB per formula unit
Space-group type   Pm-3m, No. 221

Lattice parameters (Å, degrees): 5.863 5.863 5.863 90.00 90.00 90.00
Sites, in units of the cell vectors:
Tc1 0.000 0.000 0.000
Cs1 0.000 0.000 0.500
Cs2 0.500 0.000 0.000
Cs3 0.000 0.500 0.000
Os1 0.500 0.500 0.500

---

DFT (PBE-GGA) results for crystalline CsTc2Os at its relaxed geometry.

Computed properties:
Energy above the lowest structure with this stoichiometry   123.6 meV/atom
Total DFT energy (no corrections)   -6.35 eV/atom
ΔH_f (0 K)   1.857 eV/atom
D(E_F)   0.823 states/eV/atom
Total moment   0.00 μB per formula unit
Space-group type   Fm-3m, No. 225

Lattice parameters (Å, degrees): 4.651 4.651 4.651 60.00 60.00 60.00
Sites, in units of the cell vectors:
Tc1 0.750 0.750 0.750
Tc2 0.250 0.250 0.250
Os1 0.500 0.500 0.500
Cs1 0.000 0.000 0.000

---

DFT (PBE-GGA) results for crystalline CsTcOs2 at its relaxed geometry.

Computed properties:
Total DFT energy (no corrections)   -6.56 eV/atom
ΔH_f (0 K)   1.861 eV/atom
D(E_F)   0.221 states/eV/atom
Total moment   0.00 μB per formula unit
Space-group type   I-42d, No. 122

Lattice parameters (Å, degrees): 7.439 7.439 6.445 54.75 54.75 90.00
Sites, in units of the cell vectors:
Cs1 0.750 0.250 0.500
Cs2 0.000 0.000 0.000
Os1 0.375 0.469 0.750
Os2 0.219 0.625 0.250
Os3 0.531 0.125 0.250
Os4 0.875 0.781 0.750
Tc1 0.250 0.750 0.500
Tc2 0.500 0.500 0.000

---

DFT (PBE-GGA) results for crystalline CsTc2Os2 at its relaxed geometry.

Computed properties:
Energy above the lowest structure with this stoichiometry   65.6 meV/atom
Total DFT energy (no corrections)   -7.77 eV/atom
ΔH_f (0 K)   1.042 eV/atom
D(E_F)   1.226 states/eV/atom
Total moment   0.00 μB per formula unit
Space-group type   I4/mmm, No. 139

Lattice parameters (Å, degrees): 4.362 4.362 7.062 72.01 72.01 90.00
Sites, in units of the cell vectors:
Tc1 0.660 0.660 0.681
Tc2 0.340 0.340 0.319
Os1 0.750 0.250 0.500
Os2 0.250 0.750 0.500
Cs1 0.000 0.000 0.000

---

DFT (PBE-GGA) results for crystalline CsTc2Os at its relaxed geometry.

Computed properties:
Energy above the lowest structure with this stoichiometry   0.0 meV/atom
Total DFT energy (no corrections)   -6.47 eV/atom
ΔH_f (0 K)   1.734 eV/atom
D(E_F)   1.376 states/eV/atom
Total moment   0.00 μB per formula unit
Space-group type   I-42d, No. 122

Lattice parameters (Å, degrees): 7.404 7.404 6.251 53.69 53.69 90.00
Sites, in units of the cell vectors:
Cs1 0.500 0.500 0.000
Cs2 0.250 0.750 0.500
Tc1 0.875 0.952 0.750
Tc2 0.702 0.125 0.250
Tc3 0.048 0.625 0.250
Tc4 0.375 0.298 0.750
Os1 0.750 0.250 0.500
Os2 0.000 0.000 0.000